PBE+U CrTeIrO6, relaxed; density of states at the Fermi level = 0.16 states/eV/f.u.; DFT total energy = -6.513 eV per atom; calculated density = 7.83 g/cm³
1.0
5.140 0.000 0.000
-2.570 4.451 0.000
0.000 0.000 8.675
Ir O Cr Te
2 12 2 2
Cartesian
0.000 0.000 4.338
0.000 0.000 0.000
-1.674 2.924 7.572
1.674 2.924 5.441
3.369 0.013 3.234
0.896 1.527 3.234
1.771 0.013 1.103
3.444 2.911 3.234
0.799 4.439 7.572
4.244 1.527 1.103
0.875 1.540 7.572
-0.875 1.540 5.441
1.695 2.911 1.103
-0.799 4.439 5.441
2.570 1.484 6.506
0.000 2.968 2.169
2.570 1.484 2.169
0.000 2.968 6.506